Density functional theory data (PBE) for crystalline ErIrRuO6 at its relaxed geometry.

Results
- ΔE_f (raw) (eV per atom) = -1.4594
- density (g/cm3) = 8.83

Cell: 5.249 5.249 8.775 Å, 90.00 90.00 120.00°
Fractional positions:
Ir 0.333 0.667 0.750
Ir 0.667 0.333 0.250
O 0.337 0.028 0.120
O 0.663 0.972 0.880
O 0.972 0.663 0.380
O 0.028 0.337 0.620
O 0.028 0.691 0.880
O 0.663 0.691 0.620
O 0.309 0.972 0.620
O 0.337 0.309 0.380
O 0.972 0.309 0.120
O 0.691 0.028 0.380
O 0.309 0.337 0.880
O 0.691 0.663 0.120
Ru 0.000 0.000 0.500
Ru 0.000 0.000 0.000
Er 0.667 0.333 0.750
Er 0.333 0.667 0.250